DFT (PBE) results for a relaxed TeOs3Cl crystal.

The energy above the most stable polymorph in this dataset comes out at 590 meV per atom. The density of states at the Fermi level comes out at 4.56 states/eV/cell. For the formation energy from raw total energies, the calculation gives 2.65 eV per atom. The value obtained for the calculated volume is 120 Å³/cell. The value obtained for the total DFT energy (no corrections) is -5.090 eV/atom. As for the crystal system: cubic.

It has space group Pm-3m (No. 221), with a = 4.9366 Å, b = 4.9366 Å, c = 4.9366 Å, α = 90.00°, β = 90.00° and γ = 90.00°. The distinct sites, in fractional coordinates, are Te at (0.0000, 0.0000, 0.0000), Os at (0.0000, 0.0000, 0.5000) and Cl at (0.5000, 0.5000, 0.5000).